This record from the Alexandria database describes a crystal of LiScGa2S relaxed with PBEsol. The functional is meta-GGA SCAN.

Calculated values
* ρ: 2.68 g/cm3
* formation energy without anion corrections: 849 meV per atom

Unit cell a=5.1268 b=5.1268 c=5.2633 alpha=90.00 beta=90.00 gamma=90.00
Site moments in Bohr magnetons follow the coordinates.
Sites, in units of the cell vectors:
Sc1 0.0000 0.0000 0.0000  0.89
S1 0.5000 0.5000 0.5000  -0.05
Ga1 0.0000 0.5000 0.0000  0.12
Ga2 0.5000 0.0000 0.0000  0.12
Li1 0.0000 0.0000 0.5000  0.06



This record from the Alexandria database describes a crystal of Pm2NiGe relaxed with PBEsol. The functional is meta-GGA SCAN.

Calculated values
* ρ: 8.03 g/cm3
* DFT formation energy: -0.472 eV/atom

Unit cell a=4.9771 b=4.9771 c=4.9771 alpha=60.00 beta=60.00 gamma=60.00
Sites, in units of the cell vectors:
Ni1 0.5000 0.5000 0.5000
Ge1 0.0000 0.0000 0.0000
Pm1 0.2500 0.2500 0.2500
Pm2 0.7500 0.7500 0.7500



This record from the Alexandria database describes a crystal of HoRu3C relaxed with PBEsol. The functional is meta-GGA SCAN.

Calculated values
* ρ: 11.59 g/cm3
* DFT formation energy: -0.286 eV/atom

Unit cell a=4.0970 b=4.0970 c=4.0970 alpha=90.00 beta=90.00 gamma=90.00
Sites, in units of the cell vectors:
Ru1 0.5000 0.0000 0.0000
Ru2 0.0000 0.5000 0.0000
Ru3 0.0000 0.0000 0.5000
C1 0.0000 0.0000 0.0000
Ho1 0.5000 0.5000 0.5000



This record from the Alexandria database describes a crystal of Ti15NbO32 relaxed with PBEsol. The functional is meta-GGA SCAN.

Calculated values
* ρ: 3.98 g/cm3
* formation energy without anion corrections: -3282 meV per atom

Unit cell a=7.5935 b=7.5935 c=9.5642 alpha=90.00 beta=90.00 gamma=90.00
Sites, in units of the cell vectors:
Ti1 0.7525 0.7525 0.0000
Ti2 0.7525 0.2475 0.0000
Ti3 0.2475 0.7525 0.0000
Ti4 0.2475 0.2475 0.0000
Ti5 0.5000 0.7544 0.7583
Ti6 0.5000 0.2456 0.7583
Ti7 0.0000 0.7506 0.7491
Ti8 0.0000 0.2494 0.7491
Ti9 0.5000 0.0000 0.4991
Ti10 0.0000 0.5000 0.5009
Ti11 0.0000 0.0000 0.5000
Ti12 0.7544 0.5000 0.2417
Ti13 0.7506 0.0000 0.2509
Ti14 0.2456 0.5000 0.2417
Ti15 0.2494 0.0000 0.2509
Nb1 0.5000 0.5000 0.5000
O1 0.5000 0.7513 0.9597
O2 0.5000 0.2487 0.9597
O3 0.0000 0.7505 0.9583
O4 0.0000 0.2495 0.9583
O5 0.5000 0.5000 0.7122
O6 0.5000 0.0000 0.7107
O7 0.0000 0.5000 0.7068
O8 0.0000 0.0000 0.7078
O9 0.7513 0.5000 0.0403
O10 0.7505 0.0000 0.0417
O11 0.2487 0.5000 0.0403
O12 0.2495 0.0000 0.0417
O13 0.7506 0.7502 0.7927
O14 0.7506 0.2498 0.7927
O15 0.2494 0.7502 0.7927
O16 0.2494 0.2498 0.7927
O17 0.7526 0.5000 0.4548
O18 0.7497 0.0000 0.4582
O19 0.2474 0.5000 0.4548
O20 0.2503 0.0000 0.4582
O21 0.7502 0.7506 0.2073
O22 0.7502 0.2494 0.2073
O23 0.2498 0.7506 0.2073
O24 0.2498 0.2494 0.2073
O25 0.5000 0.7526 0.5452
O26 0.5000 0.2474 0.5452
O27 0.0000 0.7497 0.5418
O28 0.0000 0.2503 0.5418
O29 0.5000 0.5000 0.2878
O30 0.5000 0.0000 0.2932
O31 0.0000 0.5000 0.2893
O32 0.0000 0.0000 0.2922



This record from the Alexandria database describes a crystal of Li2ZnSe relaxed with PBEsol. The functional is meta-GGA SCAN.

Calculated values
* ρ: 4.10 g/cm3
* formation energy without anion corrections: -532 meV per atom

Unit cell a=3.8114 b=3.8114 c=5.1720 alpha=111.62 beta=111.62 gamma=90.00
Sites, in units of the cell vectors:
Zn1 0.2500 0.7500 0.5000
Se1 0.5000 0.5000 0.0000
Li1 0.0000 0.0000 0.0000
Li2 0.7500 0.2500 0.5000



This record from the Alexandria database describes a crystal of ScMn2BAu relaxed with PBEsol. The functional is meta-GGA SCAN.

Calculated values
* ρ: 6.08 g/cm3
* DFT formation energy: 1.884 eV/atom

Unit cell a=4.5011 b=4.5011 c=4.8852 alpha=90.00 beta=90.00 gamma=90.00
Site moments in Bohr magnetons follow the coordinates.
Sites, in units of the cell vectors:
Sc1 0.0000 0.0000 0.0000  -0.58
B1 0.5000 0.5000 0.5000  -0.06
Mn1 0.0000 0.5000 0.0000  3.62
Mn2 0.5000 0.0000 0.0000  3.62
Au1 0.0000 0.0000 0.5000  0.03



This record from the Alexandria database describes a crystal of Ca2POs relaxed with PBEsol. The functional is meta-GGA SCAN.

Calculated values
* ρ: 6.64 g/cm3
* DFT formation energy: 0.021 eV/atom

Unit cell a=2.8470 b=5.2390 c=5.2390 alpha=105.22 beta=90.00 gamma=90.00
Sites, in units of the cell vectors:
Ca1 0.0000 0.5000 0.0000
Ca2 0.0000 0.0000 0.5000
Os1 0.5000 0.0000 0.0000
P1 0.5000 0.5000 0.5000



This record from the Alexandria database describes a crystal of BaLa2Ru relaxed with PBEsol. The functional is meta-GGA SCAN.

Calculated values
* ρ: 6.50 g/cm3
* DFT formation energy: -0.081 eV/atom

Unit cell a=3.5652 b=3.5652 c=10.3717 alpha=90.00 beta=90.00 gamma=90.00
Sites, in units of the cell vectors:
Ba1 0.5000 0.5000 0.5000
La1 0.0000 0.0000 0.8408
La2 0.0000 0.0000 0.1592
Ru1 0.5000 0.5000 0.0000



This record from the Alexandria database describes a crystal of Ta3HgRh relaxed with PBEsol. The functional is meta-GGA SCAN.

Calculated values
* ρ: 13.15 g/cm3
* DFT formation energy: 1.066 eV/atom

Unit cell a=4.7452 b=4.7452 c=4.7452 alpha=90.00 beta=90.00 gamma=90.00
Sites, in units of the cell vectors:
Rh1 0.0000 0.0000 0.0000
Hg1 0.5000 0.5000 0.5000
Ta1 0.0000 0.5000 0.0000
Ta2 0.0000 0.0000 0.5000
Ta3 0.5000 0.0000 0.0000



This record from the Alexandria database describes a crystal of Cs2TaBr relaxed with PBEsol. The functional is meta-GGA SCAN.

Calculated values
* ρ: 5.21 g/cm3
* formation energy without anion corrections: 738 meV per atom

Unit cell a=6.1921 b=6.1921 c=6.1921 alpha=60.00 beta=60.00 gamma=60.00
Site moments in Bohr magnetons follow the coordinates.
Sites, in units of the cell vectors:
Cs1 0.2500 0.2500 0.2500  0.03
Cs2 0.7500 0.7500 0.7500  0.03
Br1 0.0000 0.0000 0.0000  0.01
Ta1 0.5000 0.5000 0.5000  2.40



This record from the Alexandria database describes a crystal of ZrMo2Cl relaxed with PBEsol. The functional is meta-GGA SCAN.

Calculated values
* ρ: 7.96 g/cm3
* formation energy without anion corrections: 288 meV per atom

Unit cell a=3.1283 b=4.1202 c=5.1549 alpha=90.00 beta=90.00 gamma=90.00
Sites, in units of the cell vectors:
Mo1 0.0000 0.0000 0.0000
Mo2 0.5000 0.5000 0.0000
Zr1 0.5000 0.0000 0.5000
Cl1 0.0000 0.5000 0.5000



This record from the Alexandria database describes a crystal of MnZnAs4 relaxed with PBEsol. The functional is meta-GGA SCAN.

Calculated values
* ρ: 6.08 g/cm3
* DFT formation energy: 0.432 eV/atom

Unit cell a=5.4532 b=5.4532 c=5.4532 alpha=60.00 beta=60.00 gamma=60.00
Site moments in Bohr magnetons follow the coordinates.
Sites, in units of the cell vectors:
As1 0.3744 0.3744 0.3744  0.00
As2 0.3744 0.3744 0.8768  0.00
As3 0.8768 0.3744 0.3744  0.00
As4 0.3744 0.8768 0.3744  0.00
Mn1 0.7500 0.7500 0.7500  4.44
Zn1 0.0000 0.0000 0.0000  -0.01